(1)
This record from Alexandria via LeMat-Bulk describes crystalline CaBS2Cl at its relaxed geometry. The functional is PBE.

The structure in extended XYZ format:
```
5
Lattice="-0.351 -0.467 5.381 -1.895 -5.038 -0.561 4.911 -1.865 0.159" Properties=species:S:1:pos:R:3 pbc="T T T"
S -0.176 -0.233 2.690
S -0.948 -2.519 -0.280
Ca 0.000 0.000 0.000
Cl 2.455 -0.933 0.079
B 1.332 -3.685 2.489
```

Summary:
* V: 154 Å³/cell
* M_tot: 0.4021 μB/atom
* SG: P4/mmm
* calculated total energy: -3.126 eV/atom

---

(2)
This record from Alexandria via LeMat-Bulk describes crystalline Al3AgGe at its relaxed geometry. The functional is PBE.

The structure in extended XYZ format:
```
5
Lattice="4.891 0.000 0.000 0.000 4.891 0.000 0.000 0.000 4.891" Properties=species:S:1:pos:R:3 pbc="T T T"
Ag 2.446 2.446 2.446
Al 2.446 0.000 0.000
Al 0.000 0.000 2.446
Al 0.000 2.446 0.000
Ge 0.000 0.000 0.000
```

Summary:
* V: 117 Å³/cell
* M_tot: 0.0000 μB/atom
* SG: Pm-3m
* formation energy from the elements: 0.674 eV per atom

---

(3)
This record from Alexandria via LeMat-Bulk describes crystalline Ir3OsN at its relaxed geometry. The functional is PBE.

The structure in extended XYZ format:
```
5
Lattice="-2.617 3.567 -1.641 -1.740 -2.821 -3.358 -3.519 -1.258 2.880" Properties=species:S:1:pos:R:3 pbc="T T T"
N -3.938 -0.256 -1.059
Os 0.000 0.000 0.000
Ir -0.870 -1.410 -1.679
Ir -1.308 1.783 -0.820
Ir -1.760 -0.629 1.440
```

Summary:
* V: 105 Å³/cell
* M_tot: 0.0000 μB/atom
* SG: Pm-3m
* calculated total energy: -6.162 eV/atom

---

(4)
This record from Alexandria via LeMat-Bulk describes crystalline Th3Pa at its relaxed geometry. The functional is PBE.

The structure in extended XYZ format:
```
4
Lattice="-3.966 -1.958 2.171 2.764 -3.704 1.707 1.557 5.429 2.151" Properties=species:S:1:pos:R:3 pbc="T T T"
Th 1.860 -0.553 2.898
Th -1.505 0.320 3.130
Th -0.601 -2.831 1.939
Pa 0.000 0.000 0.000
```

Summary:
* V: 120 Å³/cell
* M_tot: 0.0000 μB/atom
* SG: I4/mmm
* formation energy from the elements: 0.077 eV per atom

---

(5)
This record from Alexandria via LeMat-Bulk describes crystalline CsTiTlCl6 at its relaxed geometry. The functional is PBE.

The structure in extended XYZ format:
```
9
Lattice="7.529 0.000 0.000 3.765 6.521 0.000 0.000 0.000 6.979" Properties=species:S:1:pos:R:3 pbc="T T T"
Cl 1.836 2.179 2.114
Cl 2.796 3.841 4.865
Cl 4.733 3.841 2.114
Cl 5.692 2.179 4.865
Cl 2.804 0.502 4.865
Cl 4.723 0.501 2.114
Tl 7.528 4.347 3.490
Ti 3.764 2.173 3.489
Cs 7.528 0.000 0.000
```

Summary:
* V: 343 Å³/cell
* M_tot: 0.0000 μB/atom
* SG: P312
* calculated total energy: -4.033 eV/atom

---

- Number 2 is which compound?
  Al3AgGe